No. 1
Below is crystalline NaInBr at its relaxed geometry, with properties calculated at the PBE level.

Cell: 3.995 4.241 11.475 Å, 90.10 90.19 89.99°
Fractional coordinates of all 6 atoms:
Br  0.310  0.653  0.295
Br  0.807  0.151  0.023
Na  0.306  0.651  0.031
Na  0.810  0.153  0.287
In  0.834  0.178  0.705
In  0.333  0.677  0.615

ΔE_f (raw), meV/atom: -848
Uncorrected energy, eV/atom: -2.76
Symmetry: No. 1

No. 2
Below is crystalline Bi3Se2O2 at its relaxed geometry, with properties calculated at the PBE level.

Cell: 4.159 7.321 6.782 Å, 123.85 107.85 90.00°
Fractional coordinates of all 7 atoms:
O  0.211  0.345  0.422
O  0.789  0.655  0.578
Bi  0.195  0.647  0.390
Bi  0.805  0.353  0.610
Bi  0.000  0.000  0.000
Se  0.413  0.164  0.826
Se  0.587  0.836  0.174

ΔE_f (raw), meV/atom: -683
Uncorrected energy, eV/atom: -4.76
Symmetry: No. 12

No. 3
Below is crystalline CaNd4Tl7 at its relaxed geometry, with properties calculated at the PBE level.

Cell: 5.721 10.218 7.473 Å, 82.32 67.50 73.74°
Fractional coordinates of all 12 atoms:
Tl  0.220  0.103  0.457
Tl  0.780  0.897  0.543
Tl  0.369  0.540  0.721
Tl  0.631  0.460  0.279
Tl  0.080  0.675  0.166
Tl  0.920  0.325  0.834
Tl  0.500  0.000  0.000
Nd  0.588  0.215  0.609
Nd  0.278  0.331  0.113
Nd  0.722  0.669  0.887
Nd  0.412  0.785  0.391
Ca  0.000  0.000  0.000

Uncorrected energy, eV/atom: -3.33
Calculated formation energy, meV per atom: -189
Symmetry: No. 12

No. 4
Below is crystalline La2MgGa12Ni3 at its relaxed geometry, with properties calculated at the PBE level.

Cell: 7.985 7.985 7.985 Å, 63.46 63.46 63.46°
Fractional coordinates of all 18 atoms:
Ga  0.875  0.248  0.248
Ga  0.161  0.161  0.544
Ga  0.125  0.752  0.752
Ga  0.248  0.875  0.248
Ga  0.839  0.839  0.456
Ga  0.839  0.456  0.839
Ga  0.752  0.125  0.752
Ga  0.752  0.752  0.125
Ga  0.544  0.161  0.161
Ga  0.456  0.839  0.839
Ga  0.161  0.544  0.161
Ga  0.248  0.248  0.875
Ni  0.500  0.000  0.000
Ni  0.000  0.500  0.000
Ni  0.000  0.000  0.500
La  0.585  0.585  0.585
La  0.415  0.415  0.415
Mg  0.000  0.000  0.000

Uncorrected energy, eV/atom: -3.70
Calculated formation energy, meV per atom: -85
Symmetry: No. 166

No. 5
Below is crystalline La4NdAl at its relaxed geometry, with properties calculated at the PBE level.

Cell: 6.549 9.402 8.428 Å, 114.36 100.37 111.96°
Fractional coordinates of all 12 atoms:
La  0.637  0.085  0.368
La  0.769  0.717  0.632
La  0.959  0.835  0.224
La  0.235  0.611  0.776
La  0.231  0.283  0.368
La  0.041  0.165  0.776
La  0.363  0.915  0.632
La  0.765  0.389  0.224
Al  0.251  0.001  0.003
Al  0.749  0.999  0.997
Nd  0.661  0.411  0.822
Nd  0.339  0.589  0.178

Uncorrected energy, eV/atom: -4.75
Calculated formation energy, meV per atom: -50
Symmetry: No. 15

No. 6
Below is crystalline Tb2NdEr2 at its relaxed geometry, with properties calculated at the PBE level.

Cell: 6.429 6.429 11.646 Å, 95.93 95.93 128.73°
Fractional coordinates of all 10 atoms:
Tb  0.831  0.169  0.000
Tb  0.169  0.831  0.000
Tb  0.081  0.919  0.500
Tb  0.419  0.581  0.500
Nd  0.500  0.500  0.000
Nd  0.750  0.250  0.500
Er  0.125  0.375  0.750
Er  0.625  0.375  0.250
Er  0.625  0.875  0.250
Er  0.625  0.375  0.750

Uncorrected energy, eV/atom: -4.12
Calculated formation energy, meV per atom: 510
Symmetry: No. 70

No. 7
Below is crystalline CaLa3Be at its relaxed geometry, with properties calculated at the PBE level.

Cell: 5.668 5.668 5.668 Å, 90.00 90.00 90.00°
Fractional coordinates of all 5 atoms:
Be  0.000  0.000  0.000
La  0.000  0.000  0.500
La  0.000  0.500  0.000
La  0.500  0.000  0.000
Ca  0.500  0.500  0.500

Uncorrected energy, eV/atom: -3.83
Calculated formation energy, meV per atom: 276
Symmetry: No. 221

No. 8
Below is crystalline Li2VIr at its relaxed geometry, with properties calculated at the PBE level.

Cell: 4.194 4.194 4.194 Å, 60.00 60.00 60.00°
Fractional coordinates of all 4 atoms:
Ir  0.500  0.500  0.500
V  0.000  0.000  0.000
Li  0.250  0.250  0.250
Li  0.750  0.750  0.750

Uncorrected energy, eV/atom: -5.17
Calculated formation energy, meV per atom: 282
Symmetry: No. 225